Record 1
# CrCdI2 (PBE-GGA, optimized geometry)
data_CrCdI2
_chemical_formula_sum 'Cr1 Cd1 I2'
_cell_length_a 5.4656
_cell_length_b 5.4656
_cell_length_c 5.4656
_cell_angle_alpha 60.00
_cell_angle_beta 60.00
_cell_angle_gamma 60.00
_space_group_name_H-M_alt 'P 1'
_space_group_IT_number 1
_space_group_name_Hall 'P 1'
loop_
_atom_site_label
_atom_site_type_symbol
_atom_site_fract_x
_atom_site_fract_y
_atom_site_fract_z
Cd1 Cd 0.5000 0.5000 0.5000
I1 I 0.2500 0.2500 0.2500
I2 I 0.7500 0.7500 0.7500
Cr1 Cr 0.0000 0.0000 0.0000
# - E_form (uncorrected) (eV per atom) = 0.298
# - excess energy over the best structure of this formula in the dataset (eV per atom) = 0.321
# - DFT total energy (eV/cell) = -12.45
# - magnetic moment (μB/atom) = 1.11

***

Record 2
# SrTiOF2 (PBE-GGA, optimized geometry)
data_SrTiOF2
_chemical_formula_sum 'Sr1 Ti1 O1 F2'
_cell_length_a 4.2370
_cell_length_b 4.2370
_cell_length_c 4.0190
_cell_angle_alpha 90.00
_cell_angle_beta 90.00
_cell_angle_gamma 90.00
_space_group_name_H-M_alt 'P 1'
_space_group_IT_number 1
_space_group_name_Hall 'P 1'
loop_
_atom_site_label
_atom_site_type_symbol
_atom_site_fract_x
_atom_site_fract_y
_atom_site_fract_z
F1 F 0.0000 0.5000 0.0000
O1 O 0.0000 0.0000 0.5000
F2 F 0.5000 0.0000 0.0000
Sr1 Sr 0.5000 0.5000 0.5000
Ti1 Ti 0.0000 0.0000 0.0000
# - E_form (uncorrected) (eV per atom) = -2.808
# - excess energy over the best structure of this formula in the dataset (eV per atom) = 0.000
# - DFT total energy (eV/cell) = -32.32
# - magnetic moment (μB/atom) = 0.37

***

Record 3
# Sc4NiRh3 (PBE-GGA, optimized geometry)
data_Sc4NiRh3
_chemical_formula_sum 'Sc4 Ni1 Rh3'
_cell_length_a 3.1778
_cell_length_b 3.1778
_cell_length_c 13.2260
_cell_angle_alpha 90.00
_cell_angle_beta 90.00
_cell_angle_gamma 90.00
_space_group_name_H-M_alt 'P 1'
_space_group_IT_number 1
_space_group_name_Hall 'P 1'
loop_
_atom_site_label
_atom_site_type_symbol
_atom_site_fract_x
_atom_site_fract_y
_atom_site_fract_z
Sc1 Sc 0.0000 0.0000 0.3743
Rh1 Rh 0.5000 0.5000 0.7528
Sc2 Sc 0.0000 0.0000 0.1222
Sc3 Sc 0.0000 0.0000 0.6258
Ni1 Ni 0.5000 0.5000 0.0000
Rh2 Rh 0.5000 0.5000 0.2472
Rh3 Rh 0.5000 0.5000 0.5000
Sc4 Sc 0.0000 0.0000 0.8778
# - energy relative to the elements (kJ per mole of atoms) = -85.8
# - DFT total energy (eV/cell) = -60.28
# - magnetic moment (μB/atom) = 0.00

***

Record 4
# La2YTlH (PBE-GGA, optimized geometry)
data_La2YTlH
_chemical_formula_sum 'La2 Y1 Tl1 H1'
_cell_length_a 4.9313
_cell_length_b 4.9313
_cell_length_c 5.2019
_cell_angle_alpha 90.00
_cell_angle_beta 90.00
_cell_angle_gamma 90.00
_space_group_name_H-M_alt 'P 1'
_space_group_IT_number 1
_space_group_name_Hall 'P 1'
loop_
_atom_site_label
_atom_site_type_symbol
_atom_site_fract_x
_atom_site_fract_y
_atom_site_fract_z
La1 La 0.0000 0.5000 0.0000
Tl1 Tl 0.5000 0.5000 0.5000
La2 La 0.5000 0.0000 0.0000
H1 H 0.0000 0.0000 0.0000
Y1 Y 0.0000 0.0000 0.5000
# - excess energy over the best structure of this formula in the dataset (eV per atom) = 0.000
# - DFT total energy (eV/cell) = -23.68
# - magnetic moment (μB/atom) = 0.00

***

Record 5
# ZnAsCl2 (PBE-GGA, optimized geometry)
data_ZnAsCl2
_chemical_formula_sum 'Zn1 As1 Cl2'
_cell_length_a 4.8743
_cell_length_b 4.8743
_cell_length_c 4.7864
_cell_angle_alpha 66.62
_cell_angle_beta 66.62
_cell_angle_gamma 102.62
_space_group_name_H-M_alt 'P 1'
_space_group_IT_number 1
_space_group_name_Hall 'P 1'
loop_
_atom_site_label
_atom_site_type_symbol
_atom_site_fract_x
_atom_site_fract_y
_atom_site_fract_z
Cl1 Cl 0.5000 0.5000 0.0000
Cl2 Cl 0.0000 0.0000 0.0000
Zn1 Zn 0.5000 0.0000 0.5000
As1 As 0.0000 0.5000 0.5000
# - E_form (uncorrected) (eV per atom) = -0.077
# - excess energy over the best structure of this formula in the dataset (eV per atom) = 0.349
# - DFT total energy (eV/cell) = -9.92
# - magnetic moment (μB/atom) = 0.00

***

Record 6
# Ce2SmRu9 (PBE-GGA, optimized geometry)
data_Ce2SmRu9
_chemical_formula_sum 'Ce2 Sm1 Ru9'
_cell_length_a 5.2412
_cell_length_b 5.2412
_cell_length_c 9.4346
_cell_angle_alpha 73.87
_cell_angle_beta 73.87
_cell_angle_gamma 60.00
_space_group_name_H-M_alt 'P 1'
_space_group_IT_number 1
_space_group_name_Hall 'P 1'
loop_
_atom_site_label
_atom_site_type_symbol
_atom_site_fract_x
_atom_site_fract_y
_atom_site_fract_z
Sm1 Sm 0.0000 0.0000 0.0000
Ru1 Ru 0.4172 0.9216 0.2439
Ru2 Ru 0.5828 0.5828 0.7561
Ru3 Ru 0.3352 0.3352 0.9944
Ru4 Ru 0.5000 0.5000 0.5000
Ru5 Ru 0.0784 0.5828 0.7561
Ru6 Ru 0.5828 0.0784 0.7561
Ru7 Ru 0.4172 0.4172 0.2439
Ce1 Ce 0.8603 0.8603 0.4191
Ru8 Ru 0.6648 0.6648 0.0056
Ce2 Ce 0.1397 0.1397 0.5809
Ru9 Ru 0.9216 0.4172 0.2439
# - energy relative to the elements (kJ per mole of atoms) = -10.9
# - DFT total energy (eV/cell) = -101.43
# - magnetic moment (μB/atom) = 0.00

***

Record 7
# LiNpCO5 (PBE-GGA, optimized geometry)
data_LiNpCO5
_chemical_formula_sum 'Li2 Np2 C2 O10'
_cell_length_a 5.4195
_cell_length_b 5.4195
_cell_length_c 7.7286
_cell_angle_alpha 108.62
_cell_angle_beta 108.62
_cell_angle_gamma 94.76
_space_group_name_H-M_alt 'P 1'
_space_group_IT_number 1
_space_group_name_Hall 'P 1'
loop_
_atom_site_label
_atom_site_type_symbol
_atom_site_fract_x
_atom_site_fract_y
_atom_site_fract_z
O1 O 0.1058 0.8942 0.2500
O2 O 0.8007 0.2915 0.1265
Np1 Np 0.0000 0.0000 0.0000
C1 C 0.3452 0.6548 0.7500
O3 O 0.2849 0.3808 0.6377
C2 C 0.6548 0.3452 0.2500
Np2 Np 0.0000 0.0000 0.5000
Li1 Li 0.3462 0.6538 0.2500
O4 O 0.7151 0.6192 0.3623
Li2 Li 0.6538 0.3462 0.7500
O5 O 0.7085 0.1993 0.3735
O6 O 0.3808 0.2849 0.1377
O7 O 0.2915 0.8007 0.6265
O8 O 0.1993 0.7085 0.8735
O9 O 0.8942 0.1058 0.7500
O10 O 0.6192 0.7151 0.8623
# - E_form (uncorrected) (eV per atom) = -2.037
# - DFT total energy (eV/cell) = -130.33
# - magnetic moment (μB/atom) = 0.25

***

Record 8
# BaBe2Si2 (PBE-GGA, optimized geometry)
data_BaBe2Si2
_chemical_formula_sum 'Ba2 Be4 Si4'
_cell_length_a 7.9215
_cell_length_b 7.9215
_cell_length_c 2.9749
_cell_angle_alpha 90.00
_cell_angle_beta 90.00
_cell_angle_gamma 90.00
_space_group_name_H-M_alt 'P 1'
_space_group_IT_number 1
_space_group_name_Hall 'P 1'
loop_
_atom_site_label
_atom_site_type_symbol
_atom_site_fract_x
_atom_site_fract_y
_atom_site_fract_z
Ba1 Ba 0.5000 0.5000 0.0000
Si1 Si 0.6213 0.1213 0.0000
Si2 Si 0.3787 0.8787 0.0000
Be1 Be 0.8834 0.3834 0.5000
Be2 Be 0.3834 0.1166 0.5000
Si3 Si 0.8787 0.6213 0.0000
Be3 Be 0.6166 0.8834 0.5000
Si4 Si 0.1213 0.3787 0.0000
Ba2 Ba 0.0000 0.0000 0.0000
Be4 Be 0.1166 0.6166 0.5000
# - E_form (uncorrected) (eV per atom) = 0.422
# - DFT total energy (eV/cell) = -36.23
# - magnetic moment (μB/atom) = 0.00

***

Please write out number 1 again, unchanged.
# CrCdI2 (PBE-GGA, optimized geometry)
data_CrCdI2
_chemical_formula_sum 'Cr1 Cd1 I2'
_cell_length_a 5.4656
_cell_length_b 5.4656
_cell_length_c 5.4656
_cell_angle_alpha 60.00
_cell_angle_beta 60.00
_cell_angle_gamma 60.00
_space_group_name_H-M_alt 'P 1'
_space_group_IT_number 1
_space_group_name_Hall 'P 1'
loop_
_atom_site_label
_atom_site_type_symbol
_atom_site_fract_x
_atom_site_fract_y
_atom_site_fract_z
Cd1 Cd 0.5000 0.5000 0.5000
I1 I 0.2500 0.2500 0.2500
I2 I 0.7500 0.7500 0.7500
Cr1 Cr 0.0000 0.0000 0.0000
# - E_form (uncorrected) (eV per atom) = 0.298
# - excess energy over the best structure of this formula in the dataset (eV per atom) = 0.321
# - DFT total energy (eV/cell) = -12.45
# - magnetic moment (μB/atom) = 1.11